No. 1
A geometry-optimized YCu3Se structure. Source: Alexandria via LeMat-Bulk, functional PBE-GGA.

```
YCu3Se
1.0
4.640 0.000 0.000
0.000 4.640 0.000
0.000 0.000 4.640
Cu Y Se
3 1 1
Cartesian
2.320 0.000 0.000 Cu
0.000 0.000 2.320 Cu
0.000 2.320 0.000 Cu
2.320 2.320 2.320 Y
0.000 0.000 0.000 Se
```

Output
The total magnetization is 0.0 μB/cell. For the density of states at the Fermi level, the calculation gives 3.80 states/eV/f.u. Its formation energy from raw total energies is 250 meV/atom. As for the space group: Pm-3m. For the energy above the lowest structure with this stoichiometry, the calculation gives 0.000 eV per atom. The value obtained for the volume is 19.98 Å³ per atom. The total energy comes out at -4.197 eV per atom.



No. 2
A geometry-optimized AgHIrI2 structure. Source: Alexandria via LeMat-Bulk, functional PBE-GGA.

```
AgHIrI2
1.0
5.287 0.000 0.000
0.000 3.564 0.000
0.000 0.000 5.287
Ir I H Ag
1 2 1 1
Cartesian
0.000 1.782 0.000 Ir
2.643 0.000 0.000 I
0.000 0.000 2.643 I
0.000 0.000 0.000 H
2.643 1.782 2.643 Ag
```

Output
The total magnetization is 0.0 μB/cell. For the density of states at the Fermi level, the calculation gives 3.39 states/eV/f.u. As for the space group: P4/mmm. The value obtained for the volume is 19.92 Å³ per atom. The total energy comes out at -2.904 eV per atom.



No. 3
A geometry-optimized Tb2AlZn5 structure. Source: Alexandria via LeMat-Bulk, functional PBE-GGA.

```
Tb2AlZn5
1.0
4.348 0.000 0.000
-2.174 7.988 0.000
0.000 0.000 8.888
Zn Tb Al
10 4 2
Cartesian
0.000 5.616 4.640 Zn
0.000 6.368 2.222 Zn
2.174 4.982 0.950 Zn
2.174 1.620 6.666 Zn
0.000 5.616 8.693 Zn
2.174 2.373 4.249 Zn
0.000 3.006 5.394 Zn
2.174 2.373 0.195 Zn
0.000 3.006 7.939 Zn
2.174 4.982 3.495 Zn
0.000 3.209 2.222 Tb
2.174 4.779 6.666 Tb
0.000 0.000 0.000 Tb
0.000 0.000 4.444 Tb
0.000 7.116 6.666 Al
2.174 0.872 2.222 Al
```

Output
The value obtained for the calculated formation energy is -0.357 eV/atom. The total magnetization is 0.0 μB/cell. For the density of states at the Fermi level, the calculation gives 5.68 states/eV/f.u. As for the space group: Cmcm. The value obtained for the volume is 19.29 Å³ per atom. The total energy comes out at -2.778 eV per atom.



No. 4
A geometry-optimized KFeH2 structure. Source: Alexandria via LeMat-Bulk, functional PBE-GGA.

```
KFeH2
1.0
-0.508 2.467 1.525
-0.021 -0.066 2.944
5.515 1.931 1.555
H Fe K
2 1 1
Cartesian
4.372 3.375 4.525 H
0.613 0.957 1.499 H
0.000 0.000 0.000 Fe
2.493 2.166 3.012 K
```

Output
The total magnetization is 2.1 μB/cell. For the density of states at the Fermi level, the calculation gives 1.36 states/eV/f.u. As for the space group: R-3m. For the energy above the lowest structure with this stoichiometry, the calculation gives 0.136 eV per atom. The value obtained for the volume is 10.89 Å³ per atom. The total energy comes out at -3.730 eV per atom.



No. 5
A geometry-optimized Cs2PS6 structure. Source: Alexandria via LeMat-Bulk, functional PBE-GGA.

```
Cs2PS6
1.0
8.404 0.360 1.720
-4.787 5.026 -5.058
1.854 -1.584 7.436
S Cs P
6 2 1
Cartesian
3.753 -0.534 6.619 S
5.295 1.766 5.190 S
0.176 2.035 -1.091 S
1.934 4.173 0.848 S
1.717 4.335 -2.521 S
3.536 -0.372 3.250 S
4.887 2.537 1.429 Cs
0.583 1.264 2.669 Cs
5.129 -0.612 4.578 P
```

Output
The total magnetization is 0.0 μB/cell. For the density of states at the Fermi level, the calculation gives 3.02 states/eV/f.u. Its formation energy from raw total energies is -417 meV/atom. As for the space group: P-1. The value obtained for the volume is 28.13 Å³ per atom. The total energy comes out at -3.959 eV per atom.



No. 6
A geometry-optimized HoAlCoPd structure. Source: Alexandria via LeMat-Bulk, functional PBE-GGA.

```
HoAlCoPd
1.0
-1.394 0.414 4.300
2.835 -0.973 3.409
1.643 3.333 2.607
Pd Al Ho Co
1 1 1 1
Cartesian
0.000 0.000 0.000 Pd
2.313 2.080 7.737 Al
0.771 0.693 2.579 Ho
1.542 1.387 5.158 Co
```

Output
The value obtained for the calculated formation energy is -0.529 eV/atom. The total magnetization is 0.4 μB/cell. For the density of states at the Fermi level, the calculation gives 2.90 states/eV/f.u. As for the space group: F-43m. The value obtained for the volume is 16.53 Å³ per atom. The total energy comes out at -5.684 eV per atom.



No. 7
A geometry-optimized La2SbTeP structure. Source: Alexandria via LeMat-Bulk, functional PBE-GGA.

```
La2SbTeP
1.0
6.057 0.000 0.000
0.000 4.914 0.000
0.000 0.000 6.057
La Sb P Te
2 1 1 1
Cartesian
0.000 0.000 3.028 La
3.028 0.000 0.000 La
0.000 0.000 0.000 Sb
0.000 2.457 0.000 P
3.028 2.457 3.028 Te
```

Output
The total magnetization is 0.0 μB/cell. For the density of states at the Fermi level, the calculation gives 3.23 states/eV/f.u. Its formation energy from raw total energies is -376 meV/atom. As for the space group: P4/mmm. The value obtained for the volume is 36.05 Å³ per atom. The total energy comes out at -4.882 eV per atom.



No. 8
A geometry-optimized ReTcW2 structure. Source: Alexandria via LeMat-Bulk, functional PBE-GGA.

```
ReTcW2
1.0
4.833 -0.021 0.000
-1.485 4.599 0.000
0.000 0.000 2.808
Tc Re W
1 1 2
Cartesian
-0.742 2.300 1.404 Tc
2.417 -0.010 1.404 Re
1.674 2.289 0.000 W
0.000 0.000 0.000 W
```

Output
The value obtained for the calculated formation energy is 0.202 eV/atom. The total magnetization is 0.0 μB/cell. For the density of states at the Fermi level, the calculation gives 3.46 states/eV/f.u. As for the space group: Cmmm. For the energy above the lowest structure with this stoichiometry, the calculation gives 0.126 eV per atom. The value obtained for the volume is 15.58 Å³ per atom. The total energy comes out at -11.979 eV per atom.



No. 9
A geometry-optimized CsCrCo2Cl8 structure. Source: Alexandria via LeMat-Bulk, functional PBE-GGA.

```
CsCrCo2Cl8
1.0
-3.404 -0.492 5.165
2.467 -2.499 5.116
2.873 8.247 6.406
Cl Co Cr Cs
8 2 1 1
Cartesian
3.085 5.121 11.105 Cl
1.822 -1.382 7.113 Cl
0.927 2.419 12.025 Cl
1.009 2.837 4.663 Cl
-1.149 0.135 5.583 Cl
-1.245 -0.960 9.084 Cl
0.115 6.638 9.575 Cl
3.182 6.216 7.604 Cl
1.614 4.410 12.667 Co
0.323 0.846 4.021 Co
0.000 0.000 0.000 Cr
0.968 2.628 8.344 Cs
```

Output
The total magnetization is 3.0 μB/cell. Its formation energy from raw total energies is -986 meV/atom. As for the space group: R-3. The value obtained for the volume is 28.41 Å³ per atom. The total energy comes out at -4.275 eV per atom.



No. 10
A geometry-optimized PrTmScCd structure. Source: Alexandria via LeMat-Bulk, functional PBE-GGA.

```
PrTmScCd
1.0
-4.281 -1.877 -2.693
0.683 -3.495 -4.052
-1.515 -5.144 0.590
Sc Tm Pr Cd
1 1 1 1
Cartesian
0.000 0.000 0.000 Sc
-1.278 -2.629 -1.539 Tm
-3.834 -7.887 -4.617 Pr
-2.556 -5.258 -3.078 Cd
```

Output
The value obtained for the calculated formation energy is -0.040 eV/atom. The total magnetization is 0.0 μB/cell. For the density of states at the Fermi level, the calculation gives 5.00 states/eV/f.u. As for the space group: F-43m. The value obtained for the volume is 27.75 Å³ per atom. The total energy comes out at -4.164 eV per atom.



No. 11
A geometry-optimized Tl2ZnSe structure. Source: Alexandria via LeMat-Bulk, functional PBE-GGA.

```
Tl2ZnSe
1.0
5.365 0.000 0.000
2.683 4.646 0.000
2.683 1.549 4.381
Se Tl Zn
1 2 1
Cartesian
5.365 3.097 2.190 Se
0.000 0.000 0.000 Tl
2.683 1.549 1.095 Tl
8.048 4.646 3.285 Zn
```

Output
The total magnetization is 0.0 μB/cell. For the density of states at the Fermi level, the calculation gives 1.53 states/eV/f.u. Its formation energy from raw total energies is 47 meV/atom. As for the space group: F-43m. For the energy above the lowest structure with this stoichiometry, the calculation gives 0.232 eV per atom. The value obtained for the volume is 27.30 Å³ per atom. The total energy comes out at -2.325 eV per atom.



No. 12
A geometry-optimized AgHg2Br structure. Source: Alexandria via LeMat-Bulk, functional PBE-GGA.

```
AgHg2Br
1.0
3.834 0.000 0.000
1.917 3.320 0.000
1.917 1.107 8.252
Hg Br Ag
2 1 1
Cartesian
1.917 1.107 6.330 Hg
1.917 1.107 1.907 Hg
3.834 2.214 4.161 Br
5.751 3.320 8.233 Ag
```

Output
The total magnetization is 0.0 μB/cell. Its formation energy from raw total energies is -92 meV/atom. As for the space group: R3m. For the energy above the lowest structure with this stoichiometry, the calculation gives 0.052 eV per atom. The value obtained for the volume is 26.27 Å³ per atom. The total energy comes out at -1.374 eV per atom.



No. 13
A geometry-optimized Li2CaEr2Tl2 structure. Source: Alexandria via LeMat-Bulk, functional PBE-GGA.

```
Li2CaEr2Tl2
1.0
-3.821 -1.320 -2.731
-3.729 -2.407 2.024
-6.582 6.637 1.645
Tl Ca Er Li
2 1 2 2
Cartesian
-10.654 2.289 0.729 Tl
-3.478 0.621 0.209 Tl
0.000 0.000 0.000 Ca
-9.119 -0.686 0.019 Er
-5.013 3.596 0.919 Er
-5.837 -0.927 -0.099 Li
-8.295 3.837 1.038 Li
```

Output
The value obtained for the calculated formation energy is -0.171 eV/atom. The total magnetization is 0.0 μB/cell. For the density of states at the Fermi level, the calculation gives 4.94 states/eV/f.u. As for the space group: R-3m. The value obtained for the volume is 26.69 Å³ per atom. The total energy comes out at -2.984 eV per atom.



No. 14
A geometry-optimized BaLa3Ir structure. Source: Alexandria via LeMat-Bulk, functional PBE-GGA.

```
BaLa3Ir
1.0
7.132 0.009 0.020
0.081 8.238 0.003
1.271 -2.087 6.818
La Ba Ir
6 2 2
Cartesian
7.452 6.680 3.463 La
1.350 4.801 0.144 La
1.348 0.519 0.145 La
5.072 6.689 0.118 La
7.413 2.837 3.507 La
3.889 4.818 3.568 La
6.229 0.409 6.767 Ba
3.694 0.685 3.483 Ba
6.173 4.732 1.837 Ir
1.555 4.775 5.254 Ir
```

Output
The value obtained for the calculated formation energy is -0.305 eV/atom. The total magnetization is 0.2 μB/cell. For the density of states at the Fermi level, the calculation gives 7.06 states/eV/f.u. As for the space group: P1. For the energy above the lowest structure with this stoichiometry, the calculation gives 0.014 eV per atom. The value obtained for the volume is 40.04 Å³ per atom. The total energy comes out at -5.419 eV per atom.



No. 15
A geometry-optimized Li2InSb structure. Source: Alexandria via LeMat-Bulk, functional PBE-GGA.

```
Li2InSb
1.0
5.121 0.000 0.000
2.560 4.435 0.000
2.560 1.478 4.181
Sb Li In
1 2 1
Cartesian
7.681 4.435 3.136 Sb
2.560 1.478 1.045 Li
0.000 0.000 0.000 Li
5.121 2.957 2.091 In
```

Output
The total magnetization is 0.0 μB/cell. For the density of states at the Fermi level, the calculation gives 2.31 states/eV/f.u. Its formation energy from raw total energies is -201 meV/atom. As for the space group: F-43m. The value obtained for the volume is 23.74 Å³ per atom. The total energy comes out at -2.873 eV per atom.



No. 16
A geometry-optimized CaSbNO2 structure. Source: Alexandria via LeMat-Bulk, functional PBE-GGA.

```
CaSbNO2
1.0
-2.294 3.565 -0.470
-3.596 -2.276 0.288
-0.011 0.571 4.386
O Ca N Sb
2 1 1 1
Cartesian
-1.147 1.782 -0.235 O
-1.798 -1.138 0.144 O
0.000 0.000 0.000 Ca
-0.005 0.286 2.193 N
-2.950 0.930 2.102 Sb
```

Output
The total magnetization is 2.0 μB/cell. For the density of states at the Fermi level, the calculation gives 3.66 states/eV/f.u. Its formation energy from raw total energies is 156 meV/atom. As for the space group: P4/mmm. The value obtained for the volume is 16.10 Å³ per atom. The total energy comes out at -4.717 eV per atom.



No. 17
A geometry-optimized PrZn2Au structure. Source: Alexandria via LeMat-Bulk, functional PBE-GGA.

```
PrZn2Au
1.0
-0.617 -3.162 3.055
5.397 1.681 -0.396
-1.193 4.992 4.926
Zn Pr Au
4 2 2
Cartesian
-0.018 1.575 1.627 Zn
-0.462 3.431 3.458 Zn
4.061 2.588 3.498 Zn
3.608 -1.504 2.399 Zn
1.611 0.965 4.550 Pr
0.567 -1.564 1.722 Pr
2.010 4.053 4.600 Au
2.727 1.056 1.644 Au
```

Output
The value obtained for the calculated formation energy is -0.472 eV/atom. The total magnetization is 0.0 μB/cell. For the density of states at the Fermi level, the calculation gives 2.48 states/eV/f.u. As for the space group: Amm2. The value obtained for the volume is 20.59 Å³ per atom. The total energy comes out at -3.124 eV per atom.



No. 18
A geometry-optimized MnS structure. Source: Alexandria via LeMat-Bulk, functional PBE-GGA.

```
MnS
1.0
-1.482 2.258 1.279
-2.361 -1.784 0.415
1.077 -0.805 2.668
S Mn
1 1
Cartesian
0.000 0.000 0.000 S
-1.383 -0.166 2.181 Mn
```

Output
The total magnetization is 3.0 μB/cell. For the density of states at the Fermi level, the calculation gives 0.68 states/eV/f.u. Its formation energy from raw total energies is -85 meV/atom. As for the space group: Pm-3m. The value obtained for the volume is 13.34 Å³ per atom. The total energy comes out at -6.734 eV per atom.



No. 19
A geometry-optimized Pr2SmTl2 structure. Source: Alexandria via LeMat-Bulk, functional PBE-GGA.

```
Pr2SmTl2
1.0
4.997 0.000 0.000
2.498 5.709 -0.208
2.498 1.328 5.556
Sm Pr Tl
1 2 2
Cartesian
0.000 0.000 0.000 Sm
7.495 4.871 3.702 Pr
2.498 2.166 1.646 Pr
4.997 4.468 1.425 Tl
4.997 2.570 3.923 Tl
```

Output
The value obtained for the calculated formation energy is -0.296 eV/atom. The total magnetization is 0.0 μB/cell. For the density of states at the Fermi level, the calculation gives 5.27 states/eV/f.u. As for the space group: Immm. For the energy above the lowest structure with this stoichiometry, the calculation gives 0.005 eV per atom. The value obtained for the volume is 31.97 Å³ per atom. The total energy comes out at -4.098 eV per atom.



No. 20
A geometry-optimized In2CoRh structure. Source: Alexandria via LeMat-Bulk, functional PBE-GGA.

```
In2CoRh
1.0
0.000 3.189 3.189
3.189 0.000 3.189
3.189 3.189 0.000
Rh In Co
1 2 1
Cartesian
3.189 3.189 3.189 Rh
4.784 4.784 4.784 In
1.595 1.595 1.595 In
0.000 0.000 0.000 Co
```

Output
The value obtained for the calculated formation energy is -0.122 eV/atom. The total magnetization is 0.4 μB/cell. For the density of states at the Fermi level, the calculation gives 2.06 states/eV/f.u. As for the space group: Fm-3m. The value obtained for the volume is 16.22 Å³ per atom. The total energy comes out at -5.105 eV per atom.